No. 1
The following is a GGA-PBE calculation of a relaxed structure of Sc3AsOs, from the Alexandria database.

Summary:
Excess energy over the best structure of this formula in the dataset (eV per atom): 0.3384
Formation enthalpy at 0 K (eV/atom): 0.27

Cell lengths 4.868, 4.868, 4.868 Å; angles 90.00, 90.00, 90.00 degrees
Fractional coordinates of all 5 atoms:
Sc1 0.500 0.000 0.000
Sc2 0.000 0.500 0.000
Sc3 0.000 0.000 0.500
Os1 0.500 0.500 0.500
As1 0.000 0.000 0.000

No. 2
The following is a GGA-PBE calculation of a relaxed structure of LiZnCd4, from the Alexandria database.

Summary:
Excess energy over the best structure of this formula in the dataset (eV per atom): 0.0000
Formation enthalpy at 0 K (eV/atom): -0.04

Cell lengths 5.799, 5.856, 8.647 Å; angles 101.60, 101.33, 114.22 degrees
Fractional coordinates of all 12 atoms:
Cd1 0.469 0.718 0.934
Cd2 0.216 0.965 0.434
Cd3 0.784 0.035 0.566
Cd4 0.531 0.282 0.066
Cd5 0.035 0.784 0.066
Cd6 0.718 0.469 0.434
Cd7 0.282 0.531 0.566
Cd8 0.965 0.216 0.934
Li1 0.875 0.125 0.250
Li2 0.125 0.875 0.750
Zn1 0.375 0.625 0.250
Zn2 0.625 0.375 0.750

No. 3
The following is a GGA-PBE calculation of a relaxed structure of PrSmSeO2, from the Alexandria database.

Summary:
Formation energy from raw total energies (eV/f.u.): -14.864

Cell lengths 3.963, 3.963, 6.899 Å; angles 106.69, 106.69, 90.00 degrees
Fractional coordinates of all 5 atoms:
O1 0.252 0.752 0.505
O2 0.752 0.252 0.505
Pr1 0.152 0.152 0.305
Sm1 0.844 0.844 0.687
Se1 0.499 0.499 0.999

No. 4
The following is a GGA-PBE calculation of a relaxed structure of YZnRe3, from the Alexandria database.

Summary:
Excess energy over the best structure of this formula in the dataset (eV per atom): 0.0000
Formation enthalpy at 0 K (eV/atom): 1.49

Cell lengths 4.600, 4.600, 4.600 Å; angles 90.00, 90.00, 90.00 degrees
Fractional coordinates of all 5 atoms:
Re1 0.000 0.500 0.000
Re2 0.000 0.000 0.500
Re3 0.500 0.000 0.000
Zn1 0.000 0.000 0.000
Y1 0.500 0.500 0.500

No. 5
The following is a GGA-PBE calculation of a relaxed structure of LiFe5As3, from the Alexandria database.

Summary:
Formation enthalpy at 0 K (eV/atom): -0.15

Cell lengths 3.839, 6.605, 10.504 Å; angles 90.00, 90.00, 106.89 degrees
Each line ends with the local moment (μB).
Fractional coordinates of all 18 atoms:
Fe1 0.560 0.120 0.629  1.59
Fe2 0.440 0.880 0.371  1.59
Fe3 0.807 0.614 0.459  1.89
Fe4 0.000 0.000 0.500  2.52
Fe5 0.000 0.000 0.000  2.52
Fe6 0.560 0.120 0.871  1.59
Fe7 0.807 0.614 0.041  1.89
Fe8 0.440 0.880 0.129  1.59
Fe9 0.193 0.386 0.959  1.89
Fe10 0.193 0.386 0.541  1.89
As1 0.376 0.752 0.588  -0.05
As2 0.624 0.248 0.412  -0.05
As3 0.376 0.752 0.912  -0.05
As4 0.892 0.784 0.250  -0.06
As5 0.108 0.216 0.750  -0.06
As6 0.624 0.248 0.088  -0.05
Li1 0.234 0.468 0.250  -0.01
Li2 0.766 0.532 0.750  -0.01

No. 6
The following is a GGA-PBE calculation of a relaxed structure of Cs3U2S5Cl2, from the Alexandria database.

Summary:
Formation energy from raw total energies (eV/f.u.): -18.589

Cell lengths 5.273, 5.273, 14.709 Å; angles 100.33, 100.33, 90.00 degrees
Each line ends with the local moment (μB).
Fractional coordinates of all 12 atoms:
Cs1 0.000 0.000 0.000  0.00
Cs2 0.817 0.817 0.635  0.00
Cs3 0.183 0.183 0.365  0.00
S1 0.405 0.905 0.810  -0.08
S2 0.500 0.500 0.000  -0.08
S3 0.095 0.595 0.190  -0.08
S4 0.905 0.405 0.810  -0.08
S5 0.595 0.095 0.190  -0.08
U1 0.592 0.592 0.184  1.68
U2 0.408 0.408 0.816  1.68
Cl1 0.690 0.690 0.380  -0.01
Cl2 0.310 0.310 0.620  -0.01

No. 7
The following is a GGA-PBE calculation of a relaxed structure of Mo2PBr, from the Alexandria database.

Summary:
Excess energy over the best structure of this formula in the dataset (eV per atom): 0.7139
Formation energy from raw total energies (eV/f.u.): 3.022

Cell lengths 4.869, 4.869, 4.869 Å; angles 131.23, 131.23, 71.45 degrees
Fractional coordinates of all 4 atoms:
P1 0.500 0.500 0.000
Br1 0.750 0.250 0.500
Mo1 0.250 0.750 0.500
Mo2 0.000 0.000 0.000

No. 8
The following is a GGA-PBE calculation of a relaxed structure of Cd3Au2, from the Alexandria database.

Summary:
Excess energy over the best structure of this formula in the dataset (eV per atom): 0.0461
Formation enthalpy at 0 K (eV/atom): -0.14

Cell lengths 8.913, 3.412, 3.412 Å; angles 90.00, 78.97, 101.03 degrees
Fractional coordinates of all 5 atoms:
Au1 0.005 0.002 0.998
Au2 0.395 0.198 0.802
Cd1 0.200 0.600 0.400
Cd2 0.812 0.406 0.594
Cd3 0.588 0.794 0.206